Material: CaAcLuTh
Method: DFT, PBE
State: relaxed

Lattice parameters (Å, degrees): 5.8715 5.8715 5.8715 60.00 60.00 60.00
With the nearest neighbours (Å) after each atom.
Fractional coordinates of all 4 atoms:
Ca 0.0000 0.0000 0.0000  4 Ac 3.60, 4 Th 3.60
Ac 0.2500 0.2500 0.2500  4 Lu 3.60, 4 Ca 3.60
Lu 0.5000 0.5000 0.5000  4 Ac 3.60, 4 Th 3.60
Th 0.7500 0.7500 0.7500  4 Lu 3.60, 4 Ca 3.60

## Properties
DOS(E_F) = 5.7 states/eV/f.u.
space group = No. 216
E_form = 4.490 kcal/mol of atoms

=====

Material: Gd3RuN
Method: DFT, PBE
State: relaxed

Lattice parameters (Å, degrees): 4.7540 4.7540 4.7540 90.00 90.00 90.00
With the nearest neighbours (Å) after each atom.
Fractional coordinates of all 5 atoms:
Gd 0.0000 0.0000 0.5000  2 N 2.38
Gd 0.0000 0.5000 0.0000  2 N 2.38
Gd 0.5000 0.0000 0.0000  2 N 2.38
Ru 0.5000 0.5000 0.5000  12 Gd 3.36
N 0.0000 0.0000 0.0000  6 Gd 2.38

## Properties
DOS(E_F) = 3.6 states/eV/f.u.
space group = No. 221
energy relative to the elements, uncorrected = -0.59 eV per atom

=====

Material: AcZn2Hg
Method: DFT, PBE
State: relaxed

Lattice parameters (Å, degrees): 7.2005 6.0436 6.0436 47.15 90.00 90.00
With the nearest neighbours (Å) after each atom.
Fractional coordinates of all 8 atoms:
Ac 0.0000 0.0000 0.0000  7 Zn 3.22-3.41, 2 Hg 3.50
Ac 0.5000 0.1853 0.1853  5 Zn 3.23-3.34, 4 Hg 3.25
Zn 0.0000 0.3078 0.3078  2 Zn 2.85, 4 Hg 3.01
Zn 0.3164 0.4619 0.4619  4 Zn 2.64-2.86, 1 Hg 2.90
Zn 0.5000 0.8937 0.8937  4 Zn 2.86, 2 Hg 2.95
Zn 0.6836 0.4619 0.4619  4 Zn 2.64-2.86, 1 Hg 2.90
Hg 0.2004 0.7123 0.7123  1 Hg 2.89, 4 Zn 2.90-3.01
Hg 0.7996 0.7123 0.7123  1 Hg 2.89, 4 Zn 2.90-3.01

## Properties
DOS(E_F) = 3.4 states/eV/f.u.
space group = No. 38
E_form = -6.763 kcal/mol of atoms
relative energy among the computed polymorphs = 38 meV/atom

=====

Material: BeIn2Cl
Method: DFT, PBE
State: relaxed

Lattice parameters (Å, degrees): 7.6357 7.6357 7.6357 133.08 133.08 68.53
With the nearest neighbours (Å) after each atom.
Fractional coordinates of all 8 atoms:
Be 0.0000 0.0000 0.0000  4 In 2.43
Be 0.7500 0.2500 0.5000  4 In 2.43
In 0.0476 0.6250 0.9226  2 Be 2.43
In 0.3750 0.2976 0.4226  2 Be 2.43
In 0.7024 0.1250 0.0774  2 Be 2.43
In 0.8750 0.9524 0.5774  2 Be 2.43
Cl 0.2500 0.7500 0.5000  4 In 2.96
Cl 0.5000 0.5000 0.0000  4 In 2.96

## Properties
DOS(E_F) = 1.5 states/eV/f.u.
space group = No. 122
relative energy among the computed polymorphs = 211 meV/atom
energy relative to the elements, uncorrected = 0.09 eV per atom

=====

Material: Ca3Pr2
Method: DFT, PBE
State: relaxed

Lattice parameters (Å, degrees): 15.8997 15.8997 15.8997 13.72 13.72 13.72
With the nearest neighbours (Å) after each atom.
Fractional coordinates of all 5 atoms:
Ca 0.0000 0.0000 0.0000  12 Ca 3.80-3.91
Ca 0.4018 0.4018 0.4018  9 Ca 3.80-3.91, 3 Pr 3.87
Ca 0.5982 0.5982 0.5982  9 Ca 3.80-3.91, 3 Pr 3.87
Pr 0.1973 0.1973 0.1973  9 Pr 3.63-3.80, 3 Ca 3.87
Pr 0.8027 0.8027 0.8027  9 Pr 3.63-3.80, 3 Ca 3.87

## Properties
DOS(E_F) = 6.4 states/eV/f.u.
space group = No. 166
E_form = 0.469 kcal/mol of atoms

=====

Material: CdOs
Method: DFT, PBE
State: relaxed

Lattice parameters (Å, degrees): 2.8541 4.5444 5.1651 90.00 90.00 90.00
With the nearest neighbours (Å) after each atom.
Fractional coordinates of all 4 atoms:
Cd 0.2500 0.2500 0.0866  6 Cd 2.83-2.85, 6 Os 2.87-3.01
Cd 0.7500 0.7500 0.9134  6 Cd 2.83-2.85, 6 Os 2.87-3.01
Os 0.2500 0.7500 0.4273  6 Os 2.79-2.85, 6 Cd 2.87-3.01
Os 0.7500 0.2500 0.5727  6 Os 2.79-2.85, 6 Cd 2.87-3.01

## Properties
DOS(E_F) = 2.1 states/eV/f.u.
space group = No. 59
E_form = 14.414 kcal/mol of atoms

=====

Material: CrRe2Se2
Method: DFT, PBE
State: relaxed

Lattice parameters (Å, degrees): 6.4954 6.4954 3.9104 90.00 90.00 90.00
With the nearest neighbours (Å) after each atom.
Fractional coordinates of all 10 atoms:
Cr 0.0000 0.0000 0.0000  4 Re 2.51
Cr 0.5000 0.5000 0.0000  4 Re 2.51
Re 0.1389 0.3611 0.0000  2 Cr 2.51, 1 Re 2.55, 6 Se 2.62-2.81
Re 0.3611 0.8611 0.0000  2 Cr 2.51, 1 Re 2.55, 6 Se 2.62-2.81
Re 0.6389 0.1389 0.0000  2 Cr 2.51, 1 Re 2.55, 6 Se 2.62-2.81
Re 0.8611 0.6389 0.0000  2 Cr 2.51, 1 Re 2.55, 6 Se 2.62-2.81
Se 0.1707 0.6707 0.5000  6 Re 2.62-2.81
Se 0.3293 0.1707 0.5000  6 Re 2.62-2.81
Se 0.6707 0.8293 0.5000  6 Re 2.62-2.81
Se 0.8293 0.3293 0.5000  6 Re 2.62-2.81

## Properties
DOS(E_F) = 6.3 states/eV/f.u.
space group = No. 127
relative energy among the computed polymorphs = 154 meV/atom
energy relative to the elements, uncorrected = 0.87 eV per atom

=====

Material: Zr6TiIn10
Method: DFT, PBE
State: relaxed

Lattice parameters (Å, degrees): 8.7025 8.7025 5.9545 90.00 90.00 120.00
With the nearest neighbours (Å) after each atom.
Fractional coordinates of all 17 atoms:
Zr 0.0000 0.3861 0.2810  9 In 3.00-3.26, 1 Zr 3.28
Zr 0.0000 0.6139 0.7190  9 In 3.00-3.26, 1 Zr 3.28
Zr 0.3861 0.0000 0.2810  9 In 3.00-3.26, 1 Zr 3.28
Zr 0.3861 0.3861 0.7190  9 In 3.00-3.26, 1 Zr 3.28
Zr 0.6139 0.0000 0.7190  9 In 3.00-3.26, 1 Zr 3.28
Zr 0.6139 0.6139 0.2810  9 In 3.00-3.26, 1 Zr 3.28
Ti 0.0000 0.0000 0.5000  6 In 2.84
In 0.0000 0.2563 0.7947  1 Ti 2.84, 4 Zr 3.00-3.14
In 0.0000 0.7437 0.2053  1 Ti 2.84, 4 Zr 3.00-3.14
In 0.2563 0.0000 0.7947  1 Ti 2.84, 4 Zr 3.00-3.14
In 0.2563 0.2563 0.2053  1 Ti 2.84, 4 Zr 3.00-3.14
In 0.3333 0.6667 0.0000  2 In 2.98, 6 Zr 3.18
In 0.3333 0.6667 0.5000  2 In 2.98, 6 Zr 3.00
In 0.6667 0.3333 0.0000  2 In 2.98, 6 Zr 3.18
In 0.6667 0.3333 0.5000  2 In 2.98, 6 Zr 3.00
In 0.7437 0.0000 0.2053  1 Ti 2.84, 4 Zr 3.00-3.14
In 0.7437 0.7437 0.7947  1 Ti 2.84, 4 Zr 3.00-3.14

## Properties
DOS(E_F) = 10.1 states/eV/f.u.
space group = No. 162
E_form = -2.670 kcal/mol of atoms

=====

Material: Th2Al5Zn12
Method: DFT, PBE
State: relaxed

Lattice parameters (Å, degrees): 6.9217 6.9217 6.9217 83.14 83.14 83.14
With the nearest neighbours (Å) after each atom.
Fractional coordinates of all 19 atoms:
Th 0.1662 0.1662 0.1662  4 Al 3.13-3.47, 12 Zn 3.24-3.41
Th 0.8338 0.8338 0.8338  4 Al 3.13-3.47, 12 Zn 3.24-3.41
Al 0.0000 0.5000 0.5000  8 Zn 2.63-2.70, 2 Al 2.80
Al 0.4004 0.4004 0.4004  4 Al 2.66-2.80, 3 Zn 2.95
Al 0.5000 0.0000 0.5000  8 Zn 2.63-2.70, 2 Al 2.80
Al 0.5000 0.5000 0.0000  8 Zn 2.63-2.70, 2 Al 2.80
Al 0.5996 0.5996 0.5996  4 Al 2.66-2.80, 3 Zn 2.95
Zn 0.1465 0.1465 0.6626  6 Zn 2.60-2.81, 2 Al 2.70
Zn 0.1465 0.6626 0.1465  6 Zn 2.60-2.81, 2 Al 2.70
Zn 0.2019 0.5000 0.7981  2 Al 2.63, 6 Zn 2.74-2.81
Zn 0.2019 0.7981 0.5000  2 Al 2.63, 6 Zn 2.74-2.81
Zn 0.3374 0.8535 0.8535  6 Zn 2.60-2.81, 2 Al 2.70
Zn 0.5000 0.2019 0.7981  2 Al 2.63, 6 Zn 2.74-2.81
Zn 0.5000 0.7981 0.2019  2 Al 2.63, 6 Zn 2.74-2.81
Zn 0.6626 0.1465 0.1465  6 Zn 2.60-2.81, 2 Al 2.70
Zn 0.7981 0.2019 0.5000  2 Al 2.63, 6 Zn 2.74-2.81
Zn 0.7981 0.5000 0.2019  2 Al 2.63, 6 Zn 2.74-2.81
Zn 0.8535 0.3374 0.8535  6 Zn 2.60-2.81, 2 Al 2.70
Zn 0.8535 0.8535 0.3374  6 Zn 2.60-2.81, 2 Al 2.70

## Properties
DOS(E_F) = 6.2 states/eV/f.u.
space group = No. 166
E_form = -4.159 kcal/mol of atoms

=====

Material: La4Nd7Sm
Method: DFT, PBE
State: relaxed

Lattice parameters (Å, degrees): 6.4508 7.4488 9.2396 90.00 76.47 89.96
With the nearest neighbours (Å) after each atom.
Fractional coordinates of all 12 atoms:
La 0.2219 0.2482 0.3310  1 Sm 3.66, 8 Nd 3.68-3.75, 3 La 3.72-3.74
La 0.2764 0.5006 0.6684  8 Nd 3.67-3.74, 4 La 3.72-3.74
La 0.7236 0.4994 0.3316  8 Nd 3.67-3.74, 4 La 3.72-3.74
La 0.7781 0.7518 0.6690  1 Sm 3.66, 8 Nd 3.68-3.75, 3 La 3.72-3.74
Nd 0.9997 0.2488 0.9992  7 Nd 3.65-3.74, 3 La 3.67-3.68, 2 Sm 3.72
Nd 0.0003 0.7512 0.0008  7 Nd 3.65-3.74, 3 La 3.67-3.68, 2 Sm 3.72
Nd 0.2249 0.7522 0.3284  1 Sm 3.64, 5 Nd 3.65-3.75, 6 La 3.69-3.75
Nd 0.2779 0.9997 0.6707  6 Nd 3.65-3.75, 1 Sm 3.65, 5 La 3.71-3.73
Nd 0.5000 0.5000 0.0000  6 Nd 3.66-3.73, 4 La 3.68, 2 Sm 3.72
Nd 0.7221 0.0003 0.3293  6 Nd 3.65-3.75, 1 Sm 3.65, 5 La 3.71-3.73
Nd 0.7751 0.2478 0.6716  1 Sm 3.64, 5 Nd 3.65-3.75, 6 La 3.69-3.75
Sm 0.5000 0.0000 0.0000  10 Nd 3.64-3.72, 2 La 3.66

## Properties
DOS(E_F) = 16.8 states/eV/f.u.
space group = No. 2
E_form = 0.381 kcal/mol of atoms
relative energy among the computed polymorphs = 0 meV/atom

=====

Material: La4TlSbH
Method: DFT, PBE
State: relaxed

Lattice parameters (Å, degrees): 9.6366 9.6366 6.7226 90.00 90.00 139.28
With the nearest neighbours (Å) after each atom.
Fractional coordinates of all 14 atoms:
La 0.0000 0.5000 0.0000  2 H 2.50
La 0.0000 0.5000 0.5000  2 H 2.50
La 0.0698 0.9302 0.7500  3 Tl 3.28-3.45, 2 Sb 3.45
La 0.4296 0.5704 0.7500  1 H 2.46
La 0.5000 0.0000 0.0000  2 H 2.50
La 0.5000 0.0000 0.5000  2 H 2.50
La 0.5704 0.4296 0.2500  1 H 2.46
La 0.9302 0.0698 0.2500  3 Tl 3.28-3.45, 2 Sb 3.45
Tl 0.1120 0.8880 0.2500  9 La 3.28-3.45
Tl 0.8880 0.1120 0.7500  9 La 3.28-3.45
Sb 0.3855 0.6145 0.2500  9 La 3.34-3.45
Sb 0.6145 0.3855 0.7500  9 La 3.34-3.45
H 0.2935 0.7065 0.7500  5 La 2.46-2.50
H 0.7065 0.2935 0.2500  5 La 2.46-2.50

## Properties
DOS(E_F) = 7.8 states/eV/f.u.
space group = No. 63
E_tot = -4.861 eV per atom

=====

Material: La2PrDy3Se6
Method: DFT, PBE
State: relaxed

Lattice parameters (Å, degrees): 9.4093 9.4093 8.4863 104.60 104.60 25.38
With the nearest neighbours (Å) after each atom.
Fractional coordinates of all 12 atoms:
La 0.1656 0.1656 0.3311  6 Se 3.03-3.05
La 0.8344 0.8344 0.6689  6 Se 3.03-3.05
Pr 0.5000 0.5000 0.0000  6 Se 3.03-3.04
Dy 0.1665 0.1665 0.8329  6 Se 2.87-2.89
Dy 0.5000 0.5000 0.5000  6 Se 2.89
Dy 0.8335 0.8335 0.1671  6 Se 2.87-2.89
Se 0.0047 0.0047 0.7404  3 Dy 2.87-2.89, 1 La 3.03, 2 Pr 3.04
Se 0.3296 0.3296 0.9288  3 Dy 2.88-2.89, 1 Pr 3.03, 2 La 3.04
Se 0.3372 0.3372 0.4066  3 Dy 2.89, 3 La 3.05
Se 0.6628 0.6628 0.5934  3 Dy 2.89, 3 La 3.05
Se 0.6704 0.6704 0.0712  3 Dy 2.88-2.89, 1 Pr 3.03, 2 La 3.04
Se 0.9953 0.9953 0.2596  3 Dy 2.87-2.89, 1 La 3.03, 2 Pr 3.04

## Properties
DOS(E_F) = 5.7 states/eV/f.u.
space group = No. 12
energy relative to the elements, uncorrected = -1.86 eV per atom

=====

Material: SbPPtCl2
Method: DFT, PBE
State: relaxed

Lattice parameters (Å, degrees): 4.9675 4.9675 5.5335 90.00 90.00 90.00
With the nearest neighbours (Å) after each atom.
Fractional coordinates of all 5 atoms:
Sb 0.0000 0.0000 0.0000  4 Cl 2.48, 2 P 2.77
P 0.0000 0.0000 0.5000  2 Sb 2.77
Pt 0.5000 0.5000 0.5000  4 P 3.51, 8 Cl 3.72
Cl 0.0000 0.5000 0.0000  2 Sb 2.48
Cl 0.5000 0.0000 0.0000  2 Sb 2.48

## Properties
DOS(E_F) = 5.8 states/eV/f.u.
space group = No. 123
relative energy among the computed polymorphs = 574 meV/atom
energy relative to the elements, uncorrected = 0.84 eV per atom

=====

Material: NaTlSnP
Method: DFT, PBE
State: relaxed

Lattice parameters (Å, degrees): 3.8591 3.8591 9.0933 102.17 102.17 59.98
With the nearest neighbours (Å) after each atom.
Fractional coordinates of all 4 atoms:
Na 0.0000 0.0000 0.0000  3 P 2.93
Tl 0.4290 0.4290 0.2858  1 Sn 3.05, 3 Na 3.36-3.37
Sn 0.5443 0.5443 0.6316  3 P 2.60
P 0.2614 0.2614 0.7834  3 Sn 2.60

## Properties
DOS(E_F) = 0.5 states/eV/f.u.
space group = No. 8
E_form = -3.729 kcal/mol of atoms

=====

Material: IrW
Method: DFT, PBE
State: relaxed

Lattice parameters (Å, degrees): 9.7013 4.4761 5.6041 90.00 90.00 90.00
With the nearest neighbours (Å) after each atom.
Fractional coordinates of all 16 atoms:
Ir 0.0804 0.2500 0.2431  8 W 2.73-2.85, 4 Ir 2.78-2.81
Ir 0.1682 0.7500 0.5041  8 W 2.75-2.83, 4 Ir 2.78-2.81
Ir 0.3318 0.2500 0.0041  8 W 2.75-2.83, 4 Ir 2.78-2.81
Ir 0.4196 0.7500 0.7431  8 W 2.73-2.85, 4 Ir 2.78-2.81
Ir 0.5804 0.2500 0.2569  8 W 2.73-2.85, 4 Ir 2.78-2.81
Ir 0.6682 0.7500 0.9959  8 W 2.75-2.83, 4 Ir 2.78-2.81
Ir 0.8318 0.2500 0.4959  8 W 2.75-2.83, 4 Ir 2.78-2.81
Ir 0.9196 0.7500 0.7569  8 W 2.73-2.85, 4 Ir 2.78-2.81
W 0.0806 0.2500 0.7481  8 Ir 2.73-2.83, 4 W 2.78-2.80
W 0.1676 0.7500 0.0038  8 Ir 2.74-2.85, 4 W 2.78-2.80
W 0.3324 0.2500 0.5038  8 Ir 2.74-2.85, 4 W 2.78-2.80
W 0.4194 0.7500 0.2481  8 Ir 2.73-2.83, 4 W 2.78-2.80
W 0.5806 0.2500 0.7519  8 Ir 2.73-2.83, 4 W 2.78-2.80
W 0.6676 0.7500 0.4962  8 Ir 2.74-2.85, 4 W 2.78-2.80
W 0.8324 0.2500 0.9962  8 Ir 2.74-2.85, 4 W 2.78-2.80
W 0.9194 0.7500 0.2519  8 Ir 2.73-2.83, 4 W 2.78-2.80

## Properties
DOS(E_F) = 1.5 states/eV/f.u.
space group = No. 62
E_form = -5.862 kcal/mol of atoms
relative energy among the computed polymorphs = 46 meV/atom

=====

Material: LiMg4Ag2Pd
Method: DFT, PBE
State: relaxed

Lattice parameters (Å, degrees): 8.0658 8.0658 8.0658 33.60 33.60 33.60
With the nearest neighbours (Å) after each atom.
Fractional coordinates of all 8 atoms:
Li 0.0000 0.0000 0.0000  8 Mg 2.89-2.96
Mg 0.1299 0.1299 0.1299  4 Ag 2.81-2.92, 3 Pd 2.82, 1 Li 2.96
Mg 0.3789 0.3789 0.3789  1 Pd 2.76, 4 Ag 2.80-2.87, 3 Li 2.89
Mg 0.6211 0.6211 0.6211  1 Pd 2.76, 4 Ag 2.80-2.87, 3 Li 2.89
Mg 0.8701 0.8701 0.8701  4 Ag 2.81-2.92, 3 Pd 2.82, 1 Li 2.96
Ag 0.2532 0.2532 0.2532  8 Mg 2.80-2.92
Ag 0.7468 0.7468 0.7468  8 Mg 2.80-2.92
Pd 0.5000 0.5000 0.5000  8 Mg 2.76-2.82

## Properties
DOS(E_F) = 2.6 states/eV/f.u.
space group = No. 166
E_form = -8.017 kcal/mol of atoms

=====

Material: Cd2TcMo
Method: DFT, PBE
State: relaxed

Lattice parameters (Å, degrees): 2.7532 2.7532 9.5163 90.00 90.00 104.42
With the nearest neighbours (Å) after each atom.
Fractional coordinates of all 4 atoms:
Cd 0.0000 0.0000 0.2470  4 Cd 2.75, 2 Tc 2.89, 2 Mo 2.94
Cd 0.0000 0.0000 0.7530  4 Cd 2.75, 2 Tc 2.89, 2 Mo 2.94
Tc 0.5000 0.5000 0.0000  4 Tc 2.75, 4 Cd 2.89
Mo 0.5000 0.5000 0.5000  4 Mo 2.75, 4 Cd 2.94

## Properties
DOS(E_F) = 3.2 states/eV/f.u.
space group = No. 65
E_form = 11.826 kcal/mol of atoms
relative energy among the computed polymorphs = 327 meV/atom

=====

Material: ThMnAg
Method: DFT, PBE
State: relaxed

Lattice parameters (Å, degrees): 8.7412 8.7412 3.7698 90.00 90.00 153.64
With the nearest neighbours (Å) after each atom.
Fractional coordinates of all 6 atoms:
Th 0.1000 0.9000 0.7500  6 Mn 2.98-3.00, 5 Ag 3.27-3.30
Th 0.9000 0.1000 0.2500  6 Mn 2.98-3.00, 5 Ag 3.27-3.30
Mn 0.4679 0.5321 0.7500  2 Mn 2.18
Mn 0.5321 0.4679 0.2500  2 Mn 2.18
Ag 0.2920 0.7080 0.7500  1 Mn 2.99, 4 Ag 3.09, 5 Th 3.27-3.30
Ag 0.7080 0.2920 0.2500  1 Mn 2.99, 4 Ag 3.09, 5 Th 3.27-3.30

## Properties
DOS(E_F) = 3.0 states/eV/f.u.
space group = No. 63
E_form = -0.231 kcal/mol of atoms

=====

Material: Er3AsP2
Method: DFT, PBE
State: relaxed

Lattice parameters (Å, degrees): 8.9569 8.9569 8.9569 154.15 154.15 36.88
With the nearest neighbours (Å) after each atom.
Fractional coordinates of all 6 atoms:
Er 0.0000 0.0000 0.0000  2 P 2.83, 4 As 2.83
Er 0.3307 0.3307 0.0000  5 P 2.79-2.83, 1 As 2.88
Er 0.6693 0.6693 0.0000  5 P 2.79-2.83, 1 As 2.88
As 0.5000 0.5000 0.0000  6 Er 2.83-2.88
P 0.1666 0.1666 0.0000  6 Er 2.79-2.83
P 0.8334 0.8334 0.0000  6 Er 2.79-2.83

## Properties
DOS(E_F) = 0.9 states/eV/f.u.
space group = No. 139
E_form = -36.340 kcal/mol of atoms

=====

Material: TcMo3N
Method: DFT, PBE
State: relaxed

Lattice parameters (Å, degrees): 4.1050 4.1050 4.1050 90.00 90.00 90.00
With the nearest neighbours (Å) after each atom.
Fractional coordinates of all 5 atoms:
Tc 0.0000 0.0000 0.0000  12 Mo 2.90
Mo 0.0000 0.5000 0.5000  2 N 2.05
Mo 0.5000 0.0000 0.5000  2 N 2.05
Mo 0.5000 0.5000 0.0000  2 N 2.05
N 0.5000 0.5000 0.5000  6 Mo 2.05

## Properties
DOS(E_F) = 3.7 states/eV/f.u.
space group = No. 221
relative energy among the computed polymorphs = 0 meV/atom
energy relative to the elements, uncorrected = -0.07 eV per atom